# 1
The following is a DFT calculation (PBE) of crystalline SbSeO2F at its relaxed geometry.

Cell: 4.118 4.118 4.471 Å, 90.00 90.00 90.00°
Positions (direct):
Sb 0.000 0.000 0.000
Se 0.500 0.500 0.500
O 0.000 0.500 0.000
O 0.500 0.000 0.000
F 0.000 0.000 0.500

Calculated values
Raw formation energy: -0.555 eV per atom
Symmetry: P4/mmm
M_tot: 2.82 μB/cell
Crystal system: tetragonal



# 2
The following is a DFT calculation (PBE) of crystalline SrSbO2F at its relaxed geometry.

Cell: 6.543 4.094 7.918 Å, 90.00 113.41 90.00°
Positions (direct):
Sr 0.226 0.250 0.462
Sr 0.774 0.750 0.538
Sb 0.177 0.250 0.942
Sb 0.823 0.750 0.058
O 0.017 0.250 0.674
O 0.053 0.750 0.935
O 0.947 0.250 0.065
O 0.983 0.750 0.326
F 0.450 0.750 0.617
F 0.550 0.250 0.383

Calculated values
Raw formation energy: -2.467 eV per atom
Symmetry: P2_1/m
M_tot: 0.00 μB/cell
Crystal system: monoclinic



# 3
The following is a DFT calculation (PBE) of crystalline SrSbO2F at its relaxed geometry.

Cell: 4.830 4.830 4.206 Å, 90.00 90.00 90.00°
Positions (direct):
Sr 0.000 0.000 0.000
Sb 0.500 0.500 0.000
O 0.000 0.500 0.500
O 0.500 0.000 0.500
F 0.000 0.000 0.500

Calculated values
Raw formation energy: -0.430 eV per atom
Symmetry: P4/mmm
M_tot: 1.95 μB/cell
Crystal system: tetragonal



# 4
The following is a DFT calculation (PBE) of crystalline SrSbOF2 at its relaxed geometry.

Cell: 4.731 4.731 4.333 Å, 90.00 90.00 90.00°
Positions (direct):
Sr 0.000 0.000 0.000
Sb 0.500 0.500 0.500
O 0.500 0.500 0.000
F 0.000 0.500 0.500
F 0.500 0.000 0.500

Calculated values
Raw formation energy: -1.887 eV per atom
Symmetry: P4/mmm
M_tot: 0.41 μB/cell
Crystal system: tetragonal



# 5
The following is a DFT calculation (PBE) of crystalline SrSbO2F at its relaxed geometry.

Cell: 4.671 4.671 4.391 Å, 90.00 90.00 90.00°
Positions (direct):
Sr 0.000 0.000 0.000
Sb 0.500 0.500 0.500
O 0.000 0.500 0.000
O 0.500 0.000 0.000
F 0.000 0.000 0.500

Calculated values
Raw formation energy: -1.039 eV per atom
Symmetry: P4/mmm
M_tot: 0.28 μB/cell
Crystal system: tetragonal



# 6
The following is a DFT calculation (PBE) of crystalline SrSbO2F at its relaxed geometry.

Cell: 4.393 4.393 4.476 Å, 90.00 90.00 90.00°
Positions (direct):
Sr 0.000 0.000 0.000
Sb 0.500 0.500 0.500
O 0.000 0.500 0.500
O 0.500 0.000 0.500
F 0.500 0.500 0.000

Calculated values
Raw formation energy: -1.950 eV per atom
Symmetry: P4/mmm
M_tot: 0.00 μB/cell
Crystal system: tetragonal



Question: What is the raw formation energy in the second record?
Answer: -2.467 eV per atom



Question: M_tot of number 1 (SbSeO2F)?
Answer: 2.82 μB/cell